1.
The following is a DFT calculation (PBE) of Y2TmSc2 after structural relaxation.

abc: 9.605 9.605 6.585
angles: 88.74 135.53 121.73
Sites, in units of the cell vectors:
1 Sc 0.347 0.220 0.993
2 Sc 0.853 0.905 0.234
3 Sc 0.829 0.381 0.734
4 Sc 0.273 0.645 0.493
5 Tm 0.068 0.723 0.649
6 Tm 0.426 0.581 0.149
7 Y 0.487 0.419 0.674
8 Y 0.794 0.033 0.701
9 Y 0.168 0.907 0.201
10 Y 0.755 0.186 0.174

Summary:
energy of formation	0.14	eV per atom
symmetry	No. 9

=====

2.
The following is a DFT calculation (PBE) of BeSiN2O after structural relaxation.

abc: 3.574 3.574 3.490
angles: 90.00 90.00 90.00
Last column: magnetic moment on the atom in μB.
Sites, in units of the cell vectors:
1 Si 0.000 0.000 0.000  -0.02
2 O 0.000 0.000 0.500  0.26
3 N 0.000 0.500 0.000  0.42
4 N 0.500 0.000 0.000  0.42
5 Be 0.500 0.500 0.500  -0.03

Summary:
formation energy (no corrections)	176	meV per atom
symmetry	No. 123

=====

3.
The following is a DFT calculation (PBE) of BaOsI2 after structural relaxation.

abc: 5.736 5.736 5.736
angles: 60.00 60.00 60.00
Last column: magnetic moment on the atom in μB.
Sites, in units of the cell vectors:
1 Os 0.500 0.500 0.500  2.90
2 I 0.250 0.250 0.250  0.16
3 I 0.750 0.750 0.750  0.16
4 Ba 0.000 0.000 0.000  0.01

Summary:
formation energy (no corrections)	385	meV per atom
symmetry	No. 225

=====

4.
The following is a DFT calculation (PBE) of BiH3S after structural relaxation.

abc: 3.793 3.793 3.793
angles: 90.00 90.00 90.00
Sites, in units of the cell vectors:
1 S 0.000 0.000 0.000
2 H 0.000 0.500 0.000
3 H 0.000 0.000 0.500
4 H 0.500 0.000 0.000
5 Bi 0.500 0.500 0.500

Summary:
calculated total energy	-14.15	eV for the cell shown
symmetry	No. 221

=====

5.
The following is a DFT calculation (PBE) of U2InTe4 after structural relaxation.

abc: 9.237 9.236 9.231
angles: 119.79 119.79 90.41
Last column: magnetic moment on the atom in μB.
Sites, in units of the cell vectors:
1 U 0.625 0.375 0.250  2.54
2 U 0.625 0.375 0.750  2.54
3 U 0.625 0.875 0.250  2.54
4 U 0.125 0.375 0.750  2.54
5 Te 0.387 0.610 0.224  -0.08
6 Te 0.414 0.137 0.276  -0.08
7 Te 0.863 0.586 0.724  -0.08
8 Te 0.387 0.164 0.776  -0.08
9 Te 0.860 0.137 0.723  -0.08
10 Te 0.836 0.613 0.224  -0.08
11 Te 0.863 0.140 0.276  -0.08
12 Te 0.390 0.613 0.776  -0.08
13 In 0.250 0.750 0.500  -0.04
14 In 0.000 0.000 0.000  -0.04

Summary:
formation energy (no corrections)	-461	meV per atom
symmetry	No. 70